LiY3N: single point on PBEsol structure, SCAN.

Lattice parameters (Å, degrees): 4.8758 4.8758 4.8758 90.00 90.00 90.00
Closest atoms and distances in Å follow each position.
Fractional coordinates of all 5 atoms:
1 Li 0.0000 0.0000 0.0000  6 Y 2.44
2 Y 0.0000 0.0000 0.5000  2 Li 2.44
3 Y 0.0000 0.5000 0.0000  2 Li 2.44
4 Y 0.5000 0.0000 0.0000  2 Li 2.44
5 N 0.5000 0.5000 0.5000  12 Y 3.45

Magnetic moment, μB/f.u.: 0.000
Space group: Pm-3m (221)
Formation energy (no corrections), eV per atom: 1.283


Li3ZnN: single point on PBEsol structure, SCAN.

Lattice parameters (Å, degrees): 3.9488 3.9488 3.9488 90.00 90.00 90.00
Closest atoms and distances in Å follow each position.
Fractional coordinates of all 5 atoms:
1 Li 0.0000 0.0000 0.5000  2 N 1.97
2 Li 0.0000 0.5000 0.0000  2 N 1.97
3 Li 0.5000 0.0000 0.0000  2 N 1.97
4 Zn 0.5000 0.5000 0.5000  12 Li 2.79
5 N 0.0000 0.0000 0.0000  6 Li 1.97

Magnetic moment, μB/f.u.: 0.000
Space group: Pm-3m (221)
Formation energy (no corrections), eV per atom: -0.210


LiZr2N3: single point on PBEsol structure, SCAN.

Lattice parameters (Å, degrees): 6.5609 6.5609 4.3666 90.00 90.00 60.07
Closest atoms and distances in Å follow each position.
Fractional coordinates of all 12 atoms:
1 Li 0.1343 0.8657 0.7500  3 N 2.10-2.21
2 Li 0.8657 0.1343 0.2500  3 N 2.10-2.21
3 Zr 0.1631 0.5194 0.2500  5 N 2.01-2.21
4 Zr 0.4806 0.8369 0.2500  5 N 2.01-2.21
5 Zr 0.5194 0.1631 0.7500  5 N 2.01-2.21
6 Zr 0.8369 0.4806 0.7500  5 N 2.01-2.21
7 N 0.1694 0.4670 0.7500  4 Zr 2.14-2.21
8 N 0.1854 0.8146 0.2500  2 Zr 2.01, 3 Li 2.10-2.21
9 N 0.4670 0.1694 0.2500  4 Zr 2.14-2.21
10 N 0.5330 0.8306 0.7500  4 Zr 2.14-2.21
11 N 0.8146 0.1854 0.7500  2 Zr 2.01, 3 Li 2.10-2.21
12 N 0.8306 0.5330 0.2500  4 Zr 2.14-2.21

Magnetic moment, μB/f.u.: 0.000
Space group: Cmcm (63)
Formation energy (no corrections), eV per atom: -1.642


Na2LiNb2: single point on PBEsol structure, SCAN.

Lattice parameters (Å, degrees): 7.9359 7.9359 7.9359 151.58 151.58 40.63
Closest atoms and distances in Å follow each position.
Fractional coordinates of all 5 atoms:
1 Na 0.2500 0.7500 0.5000  4 Na 2.76
2 Na 0.7500 0.2500 0.5000  4 Na 2.76
3 Li 0.0000 0.0000 0.0000  8 Nb 2.96
4 Nb 0.4280 0.4280 0.0000  1 Nb 2.14
5 Nb 0.5720 0.5720 0.0000  1 Nb 2.14

Energy of formation from the pure elements, meV/atom: 961.9
Magnetic moment, μB/f.u.: 0.000
Space group: I4/mmm (139)


RbNaLi2Nb: single point on PBEsol structure, SCAN.

Lattice parameters (Å, degrees): 5.6766 5.6766 6.0150 90.00 90.00 90.00
Closest atoms and distances in Å follow each position.
Fractional coordinates of all 5 atoms:
1 Rb 0.0000 0.0000 0.0000  4 Li 2.84, 2 Nb 3.01
2 Na 0.5000 0.5000 0.5000  4 Nb 4.01, 8 Li 4.14
3 Li 0.0000 0.5000 0.0000  2 Rb 2.84
4 Li 0.5000 0.0000 0.0000  2 Rb 2.84
5 Nb 0.0000 0.0000 0.5000  2 Rb 3.01

Energy of formation from the pure elements, meV/atom: 1385.9
Magnetic moment, μB/f.u.: 5.253
Space group: P4/mmm (123)


NaLi2TaNb: single point on PBEsol structure, SCAN.

Lattice parameters (Å, degrees): 4.6534 4.6534 4.9664 90.00 90.00 90.00
Closest atoms and distances in Å follow each position.
Fractional coordinates of all 5 atoms:
1 Na 0.0000 0.0000 0.0000  2 Nb 2.48
2 Li 0.0000 0.5000 0.5000  2 Nb 2.33
3 Li 0.5000 0.0000 0.5000  2 Nb 2.33
4 Ta 0.5000 0.5000 0.0000  4 Na 3.29, 8 Li 3.40
5 Nb 0.0000 0.0000 0.5000  4 Li 2.33, 2 Na 2.48

Energy of formation from the pure elements, meV/atom: 2006.8
Magnetic moment, μB/f.u.: 0.976
Space group: P4/mmm (123)


Na2Li2Ni: single point on PBEsol structure, SCAN.

Lattice parameters (Å, degrees): 7.0247 7.0247 4.3705 90.00 90.00 90.00
Closest atoms and distances in Å follow each position.
Fractional coordinates of all 10 atoms:
1 Na 0.1430 0.3570 0.0000  2 Ni 2.70, 2 Li 2.77, 1 Na 2.84
2 Na 0.3570 0.8570 0.0000  2 Ni 2.70, 2 Li 2.77, 1 Na 2.84
3 Na 0.6430 0.1430 0.0000  2 Ni 2.70, 2 Li 2.77, 1 Na 2.84
4 Na 0.8570 0.6430 0.0000  2 Ni 2.70, 2 Li 2.77, 1 Na 2.84
5 Li 0.1851 0.6851 0.5000  2 Na 2.77
6 Li 0.3149 0.1851 0.5000  2 Na 2.77
7 Li 0.6851 0.8149 0.5000  2 Na 2.77
8 Li 0.8149 0.3149 0.5000  2 Na 2.77
9 Ni 0.0000 0.0000 0.0000  4 Na 2.70
10 Ni 0.5000 0.5000 0.0000  4 Na 2.70

Energy of formation from the pure elements, meV/atom: 505.2
Magnetic moment, μB/f.u.: 0.910
Space group: P4/mbm (127)


NaLi3O: single point on PBEsol structure, SCAN.

Lattice parameters (Å, degrees): 4.1394 4.1394 4.1394 90.00 90.00 90.00
Closest atoms and distances in Å follow each position.
Fractional coordinates of all 5 atoms:
1 Na 0.0000 0.0000 0.0000  12 Li 2.93
2 Li 0.0000 0.5000 0.5000  2 O 2.07
3 Li 0.5000 0.0000 0.5000  2 O 2.07
4 Li 0.5000 0.5000 0.0000  2 O 2.07
5 O 0.5000 0.5000 0.5000  6 Li 2.07

Magnetic moment, μB/f.u.: 0.000
Space group: Pm-3m (221)
Formation energy (no corrections), eV per atom: -0.842


NaLiPO2: single point on PBEsol structure, SCAN.

Lattice parameters (Å, degrees): 3.8811 3.8811 4.0717 90.00 90.00 90.00
Closest atoms and distances in Å follow each position.
Fractional coordinates of all 5 atoms:
1 Na 0.0000 0.0000 0.0000  4 P 2.74, 8 O 2.81
2 Li 0.5000 0.5000 0.5000  4 O 1.94, 2 P 2.04
3 P 0.5000 0.5000 0.0000  2 Li 2.04
4 O 0.0000 0.5000 0.5000  2 Li 1.94
5 O 0.5000 0.0000 0.5000  2 Li 1.94

Magnetic moment, μB/f.u.: 1.440
Space group: P4/mmm (123)
Formation energy (no corrections), eV per atom: 0.129


Na3LiP2O7: single point on PBEsol structure, SCAN.

Lattice parameters (Å, degrees): 5.3323 5.3323 12.2413 90.00 90.00 118.05
Closest atoms and distances in Å follow each position.
Fractional coordinates of all 26 atoms:
1 Na 0.0463 0.6979 0.6193  5 O 2.34-2.49
2 Na 0.3021 0.9537 0.8807  5 O 2.34-2.49
3 Na 0.3446 0.3446 0.5000  4 O 2.34-2.39
4 Na 0.6554 0.6554 0.0000  4 O 2.34-2.39
5 Na 0.6979 0.0463 0.3807  5 O 2.34-2.49
6 Na 0.9537 0.3021 0.1193  5 O 2.34-2.49
7 Li 0.4591 0.5409 0.2500  4 O 1.94-1.96
8 Li 0.5409 0.4591 0.7500  4 O 1.94-1.96
9 P 0.0243 0.6918 0.3516  4 O 1.52-1.63
10 P 0.3082 0.9757 0.1484  4 O 1.52-1.63
11 P 0.6918 0.0243 0.6484  4 O 1.52-1.63
12 P 0.9757 0.3082 0.8516  4 O 1.52-1.63
13 O 0.0884 0.9116 0.2500  2 P 1.63
14 O 0.0894 0.4557 0.3123  1 P 1.53
15 O 0.1308 0.7829 0.0556  1 P 1.52
16 O 0.2171 0.8692 0.4444  1 P 1.52
17 O 0.2932 0.4150 0.8725  1 P 1.53
18 O 0.4150 0.2932 0.1275  1 P 1.53
19 O 0.4557 0.0894 0.6877  1 P 1.53
20 O 0.5443 0.9106 0.1877  1 P 1.53
21 O 0.5850 0.7068 0.6275  1 P 1.53
22 O 0.7068 0.5850 0.3725  1 P 1.53
23 O 0.7829 0.1308 0.9444  1 P 1.52
24 O 0.8692 0.2171 0.5556  1 P 1.52
25 O 0.9106 0.5443 0.8123  1 P 1.53
26 O 0.9116 0.0884 0.7500  2 P 1.63

Magnetic moment, μB/f.u.: 0.000
Space group: C222_1 (20)
Formation energy (no corrections), eV per atom: -2.512


Na2LiVPO6: single point on PBEsol structure, SCAN.

Lattice parameters (Å, degrees): 5.9129 12.2592 7.8404 90.00 112.59 90.00
Closest atoms and distances in Å follow each position.
Fractional coordinates of all 44 atoms:
1 Na 0.1512 0.1685 0.4579  6 O 2.34-2.61
2 Na 0.1512 0.3315 0.9579  6 O 2.34-2.61
3 Na 0.2178 0.0897 0.0644  4 O 2.29-2.54
4 Na 0.2178 0.4103 0.5644  4 O 2.29-2.54
5 Na 0.7822 0.5897 0.4356  4 O 2.29-2.54
6 Na 0.7822 0.9103 0.9356  4 O 2.29-2.54
7 Na 0.8488 0.6685 0.0421  6 O 2.34-2.61
8 Na 0.8488 0.8315 0.5421  6 O 2.34-2.61
9 Li 0.2876 0.5404 0.2219  4 O 1.89-2.05
10 Li 0.2876 0.9596 0.7219  4 O 1.89-2.05
11 Li 0.7124 0.0404 0.2781  4 O 1.89-2.05
12 Li 0.7124 0.4596 0.7781  4 O 1.89-2.05
13 V 0.4114 0.7124 0.6106  2 O 1.69-1.70
14 V 0.4114 0.7876 0.1106  2 O 1.69-1.70
15 V 0.5886 0.2124 0.8894  2 O 1.69-1.70
16 V 0.5886 0.2876 0.3894  2 O 1.69-1.70
17 P 0.2216 0.5927 0.8221  4 O 1.53-1.57
18 P 0.2216 0.9073 0.3221  4 O 1.53-1.57
19 P 0.7784 0.0927 0.6779  4 O 1.53-1.57
20 P 0.7784 0.4073 0.1779  4 O 1.53-1.57
21 O 0.0415 0.0028 0.2802  1 P 1.53
22 O 0.0415 0.4972 0.7802  1 P 1.53
23 O 0.1189 0.6808 0.6655  1 P 1.57
24 O 0.1189 0.8192 0.1655  1 P 1.57
25 O 0.2466 0.6460 0.0094  1 P 1.56
26 O 0.2466 0.8540 0.5094  1 P 1.56
27 O 0.3098 0.2410 0.2501  1 V 1.69
28 O 0.3098 0.2590 0.7501  1 V 1.69
29 O 0.4019 0.6287 0.4358  1 V 1.70, 1 Li 1.89
30 O 0.4019 0.8713 0.9358  1 V 1.70, 1 Li 1.89
31 O 0.4721 0.5614 0.8156  1 P 1.55
32 O 0.4721 0.9386 0.3156  1 P 1.55
33 O 0.5279 0.0614 0.6844  1 P 1.55
34 O 0.5279 0.4386 0.1844  1 P 1.55
35 O 0.5981 0.1287 0.0642  1 V 1.70, 1 Li 1.89
36 O 0.5981 0.3713 0.5642  1 V 1.70, 1 Li 1.89
37 O 0.6902 0.7410 0.2499  1 V 1.69
38 O 0.6902 0.7590 0.7499  1 V 1.69
39 O 0.7534 0.1460 0.4906  1 P 1.56
40 O 0.7534 0.3540 0.9906  1 P 1.56
41 O 0.8811 0.1808 0.8345  1 P 1.57
42 O 0.8811 0.3192 0.3345  1 P 1.57
43 O 0.9585 0.5028 0.2198  1 P 1.53
44 O 0.9585 0.9972 0.7198  1 P 1.53

Magnetic moment, μB/f.u.: 1.000
Space group: P2_1/c (14)
Formation energy (no corrections), eV per atom: -2.452


NaLi3SiO4: single point on PBEsol structure, SCAN.

Lattice parameters (Å, degrees): 9.8728 9.8728 9.8728 114.05 114.05 100.66
Closest atoms and distances in Å follow each position.
Fractional coordinates of all 72 atoms:
1 Na 0.1081 0.3721 0.2915  5 O 2.42-2.58
2 Na 0.1279 0.9195 0.7360  5 O 2.42-2.58
3 Na 0.3166 0.6081 0.2360  5 O 2.42-2.58
4 Na 0.4195 0.1834 0.7915  5 O 2.42-2.58
5 Na 0.5805 0.8166 0.2085  5 O 2.42-2.58
6 Na 0.6834 0.3919 0.7640  5 O 2.42-2.58
7 Na 0.8721 0.0805 0.2640  5 O 2.42-2.58
8 Na 0.8919 0.6279 0.7085  5 O 2.42-2.58
9 Li 0.0263 0.4065 0.5595  4 O 1.93-2.02
10 Li 0.0332 0.4737 0.8802  4 O 1.93-2.02
11 Li 0.0935 0.1530 0.6198  4 O 1.93-2.02
12 Li 0.1480 0.0362 0.0721  3 O 1.84-1.96
13 Li 0.1788 0.0643 0.3854  3 O 1.90-1.99
14 Li 0.1789 0.7933 0.1146  3 O 1.90-1.99
15 Li 0.2933 0.6788 0.6145  3 O 1.90-1.99
16 Li 0.3470 0.4668 0.9405  4 O 1.93-2.02
17 Li 0.4241 0.3520 0.3882  3 O 1.84-1.96
18 Li 0.4357 0.3211 0.1145  3 O 1.90-1.99
19 Li 0.4638 0.0359 0.1118  3 O 1.84-1.96
20 Li 0.4641 0.0759 0.4279  3 O 1.84-1.96
21 Li 0.5359 0.9241 0.5721  3 O 1.84-1.96
22 Li 0.5362 0.9641 0.8882  3 O 1.84-1.96
23 Li 0.5643 0.6789 0.8855  3 O 1.90-1.99
24 Li 0.5759 0.6480 0.6118  3 O 1.84-1.96
25 Li 0.6530 0.5332 0.0595  4 O 1.93-2.02
26 Li 0.7067 0.3212 0.3855  3 O 1.90-1.99
27 Li 0.8211 0.2067 0.8854  3 O 1.90-1.99
28 Li 0.8212 0.9357 0.6146  3 O 1.90-1.99
29 Li 0.8520 0.9638 0.9279  3 O 1.84-1.96
30 Li 0.9065 0.8470 0.3802  4 O 1.93-2.02
31 Li 0.9668 0.5263 0.1198  4 O 1.93-2.02
32 Li 0.9737 0.5935 0.4405  4 O 1.93-2.02
33 Si 0.1253 0.2329 0.9688  4 O 1.64-1.65
34 Si 0.2359 0.8435 0.4688  4 O 1.64-1.65
35 Si 0.2671 0.7359 0.8924  4 O 1.64-1.65
36 Si 0.3435 0.3747 0.6076  4 O 1.64-1.65
37 Si 0.6565 0.6253 0.3924  4 O 1.64-1.65
38 Si 0.7329 0.2641 0.1076  4 O 1.64-1.65
39 Si 0.7641 0.1565 0.5312  4 O 1.64-1.65
40 Si 0.8747 0.7671 0.0312  4 O 1.64-1.65
41 O 0.0159 0.9544 0.1418  1 Si 1.65
42 O 0.0475 0.3673 0.0088  1 Si 1.64
43 O 0.1238 0.6481 0.3711  1 Si 1.64
44 O 0.1327 0.6416 0.6802  1 Si 1.64
45 O 0.1416 0.9613 0.5088  1 Si 1.64
46 O 0.1481 0.2770 0.5243  1 Si 1.64
47 O 0.2230 0.2473 0.8711  1 Si 1.64
48 O 0.2334 0.8934 0.9938  1 Si 1.65, 1 Li 1.84
49 O 0.2527 0.6238 0.9757  1 Si 1.64
50 O 0.2604 0.2666 0.1599  1 Si 1.65, 1 Li 1.84
51 O 0.3126 0.8741 0.3582  1 Si 1.65
52 O 0.3741 0.5159 0.5615  1 Si 1.65
53 O 0.3934 0.8995 0.6599  1 Si 1.65, 1 Li 1.84
54 O 0.3995 0.2396 0.5062  1 Si 1.65, 1 Li 1.84
55 O 0.4544 0.8126 0.9385  1 Si 1.65
56 O 0.4613 0.4525 0.8198  1 Si 1.64
57 O 0.5387 0.5475 0.1802  1 Si 1.64
58 O 0.5456 0.1874 0.0615  1 Si 1.65
59 O 0.6005 0.7604 0.4938  1 Si 1.65, 1 Li 1.84
60 O 0.6066 0.1005 0.3401  1 Si 1.65, 1 Li 1.84
61 O 0.6259 0.4841 0.4385  1 Si 1.65
62 O 0.6874 0.1259 0.6418  1 Si 1.65
63 O 0.7396 0.7334 0.8401  1 Si 1.65, 1 Li 1.84
64 O 0.7473 0.3762 0.0243  1 Si 1.64
65 O 0.7666 0.1066 0.0062  1 Si 1.65, 1 Li 1.84
66 O 0.7770 0.7527 0.1289  1 Si 1.64
67 O 0.8519 0.7230 0.4757  1 Si 1.64
68 O 0.8584 0.0387 0.4912  1 Si 1.64
69 O 0.8673 0.3584 0.3198  1 Si 1.64
70 O 0.8762 0.3519 0.6289  1 Si 1.64
71 O 0.9525 0.6327 0.9912  1 Si 1.64
72 O 0.9841 0.0456 0.8582  1 Si 1.65

Magnetic moment, μB/f.u.: 0.000
Space group: I4_1/a (88)
Formation energy (no corrections), eV per atom: -2.543